Entry 1:
A relaxed La2Zn3Ni12Rh crystal, computed with PBE.

a = 9.5004 Å, b = 9.5004 Å, c = 9.5004 Å
α = 36.84°, β = 36.84°, γ = 36.84°
Fractional coordinates of all 18 atoms:
La 0.1532 0.1532 0.1532
La 0.8468 0.8468 0.8468
Zn 0.0000 0.5000 0.5000
Zn 0.5000 0.0000 0.5000
Zn 0.5000 0.5000 0.0000
Ni 0.0797 0.0797 0.6889
Ni 0.0797 0.6889 0.0797
Ni 0.1479 0.5665 0.5665
Ni 0.3111 0.9203 0.9203
Ni 0.4335 0.4335 0.8521
Ni 0.4335 0.8521 0.4335
Ni 0.5665 0.1479 0.5665
Ni 0.5665 0.5665 0.1479
Ni 0.6889 0.0797 0.0797
Ni 0.8521 0.4335 0.4335
Ni 0.9203 0.3111 0.9203
Ni 0.9203 0.9203 0.3111
Rh 0.5000 0.5000 0.5000

Summary:
- Spin magnetization: 0.00 μB per formula unit
- Fermi-level density of states: 18.13 states/eV/cell
- Total DFT energy (no corrections): -88.68 eV per formula unit
- E_form: 1.72 eV/f.u.

***

Entry 2:
A relaxed MgSb2Pd2 crystal, computed with PBE.

a = 7.9589 Å, b = 7.9589 Å, c = 3.3332 Å
α = 90.00°, β = 90.00°, γ = 90.00°
Fractional coordinates of all 10 atoms:
Mg 0.0000 0.0000 0.0000
Mg 0.5000 0.5000 0.0000
Sb 0.1618 0.3382 0.0000
Sb 0.3382 0.8382 0.0000
Sb 0.6618 0.1618 0.0000
Sb 0.8382 0.6618 0.0000
Pd 0.1295 0.6295 0.5000
Pd 0.3705 0.1295 0.5000
Pd 0.6295 0.8705 0.5000
Pd 0.8705 0.3705 0.5000

Summary:
- Spin magnetization: 0.00 μB per formula unit
- Fermi-level density of states: 4.81 states/eV/cell
- Formation energy without anion corrections: -0.23 eV per atom
- Total DFT energy (no corrections): -21.37 eV per formula unit
- Energy above the lowest structure with this stoichiometry: 241 meV per atom